Compound: Fe2BCl8
Source: Alexandria
Functional: PBE
Structure: relaxed

```
Fe2BCl8
1.0
7.111 0.000 0.000
-3.556 6.366 -1.214
0.000 -0.643 7.925
Fe Cl B
2 8 1
direct
0.221 0.441 0.322
0.779 0.559 0.678
0.893 0.185 0.136
0.291 0.185 0.136
0.793 0.587 0.412
0.371 0.742 0.257
0.107 0.815 0.864
0.629 0.258 0.743
0.207 0.413 0.588
0.709 0.815 0.864
0.000 0.000 0.000
```

Computed properties:
formation energy (no corrections)	-543	kJ/mol of formula units
density of states at the Fermi level	4.80	states/eV/cell
SG	No. 12



Compound: SmEr6Th4
Source: Alexandria
Functional: PBE
Structure: relaxed

```
SmEr6Th4
1.0
-5.540 -0.610 -5.585
5.613 -0.933 -5.466
-0.229 -5.555 6.408
Th Er Sm
4 6 1
direct
0.907 0.907 0.148
0.093 0.759 0.852
0.241 0.241 0.148
0.759 0.093 0.852
0.000 0.500 0.000
0.500 0.000 0.000
0.943 0.422 0.365
0.057 0.057 0.635
0.578 0.578 0.635
0.422 0.943 0.365
0.500 0.500 0.000
```

Computed properties:
ΔE_f	0.508	eV/atom
density of states at the Fermi level	15.01	states/eV/cell
SG	No. 121



Compound: Pm2Nd5Sc2
Source: Alexandria
Functional: PBE
Structure: relaxed

```
Pm2Nd5Sc2
1.0
3.467 0.000 1.054
0.439 9.069 4.786
-0.979 0.804 9.450
Nd Sc Pm
5 2 2
direct
0.664 0.010 0.663
0.184 0.669 0.964
0.000 0.000 0.000
0.816 0.331 0.036
0.336 0.990 0.337
0.517 0.667 0.298
0.483 0.333 0.702
0.139 0.347 0.375
0.861 0.653 0.625
```

Computed properties:
ΔE_f	0.035	eV/atom
density of states at the Fermi level	13.45	states/eV/cell
SG	No. 12



Compound: Pm4Nd5Ru2
Source: Alexandria
Functional: PBE
Structure: relaxed

```
Pm4Nd5Ru2
1.0
-2.618 -2.327 -1.097
4.282 -1.066 -7.958
5.237 -7.848 4.156
Nd Pm Ru
5 4 2
direct
0.000 0.836 0.851
0.000 0.500 0.000
0.000 0.535 0.333
0.000 0.164 0.149
0.000 0.465 0.667
0.500 0.812 0.532
0.500 0.823 0.170
0.500 0.188 0.468
0.500 0.177 0.830
0.000 0.966 0.346
0.000 0.034 0.654
```

Computed properties:
ΔE_f	-0.022	eV/atom
density of states at the Fermi level	15.64	states/eV/cell
SG	No. 10



Compound: Nd2CdRu
Source: Alexandria
Functional: PBE
Structure: relaxed

```
Nd2CdRu
1.0
-0.492 -1.359 3.265
-1.917 -2.668 -1.400
6.616 -4.332 -0.806
Cd Nd Ru
1 2 1
direct
0.500 0.500 0.500
0.000 0.000 0.784
0.000 0.000 0.216
0.500 0.500 0.000
```

Computed properties:
ΔE_f	-0.243	eV/atom
density of states at the Fermi level	4.12	states/eV/cell
SG	No. 123



Compound: La2MgCdIr
Source: Alexandria
Functional: PBE
Structure: relaxed

```
La2MgCdIr
1.0
5.506 0.000 0.000
0.000 5.506 0.000
0.000 0.000 5.345
La Cd Ir Mg
2 1 1 1
direct
0.000 0.500 0.000
0.500 0.000 0.000
0.000 0.000 0.500
0.000 0.000 0.000
0.500 0.500 0.500
```

Computed properties:
ΔE_f	-0.294	eV/atom
density of states at the Fermi level	3.46	states/eV/cell
SG	No. 123



Compound: In5Pb
Source: Alexandria
Functional: PBE
Structure: relaxed

```
In5Pb
1.0
-2.494 -1.617 1.877
0.717 -3.021 -1.650
9.144 -3.039 9.532
In Pb
5 1
direct
0.000 0.000 0.500
0.500 0.500 0.661
0.000 0.000 0.824
0.500 0.500 0.339
0.000 0.000 0.176
0.500 0.500 0.000
```

Computed properties:
ΔE_f	0.018	eV/atom
density of states at the Fermi level	2.65	states/eV/cell
SG	No. 123



Compound: BaS2IN
Source: Alexandria
Functional: PBE
Structure: relaxed

```
BaS2IN
1.0
-4.212 -3.323 -0.133
3.047 -3.942 1.993
-1.022 1.144 3.826
Ba N S I
1 1 2 1
direct
0.500 0.500 0.500
0.000 0.000 0.500
0.000 0.500 0.000
0.500 0.000 0.000
0.000 0.000 0.000
```

Computed properties:
formation energy (no corrections)	44	kJ/mol of formula units
density of states at the Fermi level	1.61	states/eV/cell
SG	No. 123



Compound: SiRuPt3
Source: Alexandria
Functional: PBE
Structure: relaxed

```
SiRuPt3
1.0
4.785 0.000 0.000
0.000 4.785 0.000
0.000 0.000 4.785
Ru Pt Si
1 3 1
direct
0.000 0.000 0.000
0.000 0.000 0.500
0.000 0.500 0.000
0.500 0.000 0.000
0.500 0.500 0.500
```

Computed properties:
formation energy (no corrections)	688	kJ/mol of formula units
density of states at the Fermi level	6.81	states/eV/cell
SG	No. 221



Compound: TmLuPb2
Source: Alexandria
Functional: PBE
Structure: relaxed

```
TmLuPb2
1.0
3.515 0.000 0.000
0.000 3.515 0.000
0.000 0.000 8.831
Pb Lu Tm
2 1 1
direct
0.000 0.000 0.251
0.000 0.000 0.749
0.500 0.500 0.500
0.500 0.500 0.000
```

Computed properties:
ΔE_f	-0.349	eV/atom
density of states at the Fermi level	2.62	states/eV/cell
SG	No. 123



Compound: TlCrSn3
Source: Alexandria
Functional: PBE
Structure: relaxed

```
TlCrSn3
1.0
-1.525 3.572 3.338
-2.133 -3.632 2.912
4.399 -0.523 2.570
Sn Cr Tl
3 1 1
direct
0.500 0.000 0.000
0.000 0.500 0.000
0.000 0.000 0.500
0.000 0.000 0.000
0.500 0.500 0.500
```

Computed properties:
ΔE_f	0.211	eV/atom
density of states at the Fermi level	5.36	states/eV/cell
SG	No. 221



Compound: UCdRu2
Source: Alexandria
Functional: PBE
Structure: relaxed

```
UCdRu2
1.0
-0.646 1.150 -3.089
3.019 -1.057 -1.025
-2.556 -5.747 -1.604
Cd Ru U
1 2 1
direct
0.500 0.500 0.500
0.000 0.000 0.218
0.000 0.000 0.782
0.500 0.500 0.000
```

Computed properties:
ΔE_f	-0.099	eV/atom
density of states at the Fermi level	4.32	states/eV/cell
SG	No. 123



Compound: Tl2NiC4N4
Source: Alexandria
Functional: PBE
Structure: relaxed

```
Tl2NiC4N4
1.0
7.366 0.000 0.000
0.000 6.383 -0.034
0.000 3.739 9.093
C Ni N Tl
8 2 8 4
direct
0.846 0.753 0.558
0.654 0.753 0.058
0.499 0.995 0.189
0.346 0.247 0.942
0.001 0.995 0.689
0.154 0.247 0.442
0.501 0.005 0.811
0.999 0.005 0.311
0.000 0.000 0.500
0.500 0.000 0.000
0.498 0.991 0.309
0.502 0.009 0.691
0.246 0.403 0.903
0.254 0.403 0.403
0.998 0.009 0.191
0.746 0.597 0.597
0.002 0.991 0.809
0.754 0.597 0.097
0.651 0.300 0.421
0.151 0.700 0.079
0.349 0.700 0.579
0.849 0.300 0.921
```

Computed properties:
formation energy (no corrections)	256	kJ/mol of formula units
density of states at the Fermi level	0.00	states/eV/cell
SG	No. 14



Compound: Mg2ZnGa
Source: Alexandria
Functional: PBE
Structure: relaxed

```
Mg2ZnGa
1.0
-0.868 3.030 2.893
-2.913 -3.600 2.896
6.524 -0.213 2.180
Zn Ga Mg
2 2 4
direct
0.750 0.640 0.791
0.250 0.360 0.209
0.250 0.350 0.718
0.750 0.650 0.282
0.250 0.826 0.078
0.250 0.810 0.582
0.750 0.190 0.418
0.750 0.174 0.922
```

Computed properties:
ΔE_f	-0.130	eV/atom
density of states at the Fermi level	2.42	states/eV/cell
SG	No. 11



Compound: CrSIN2
Source: Alexandria
Functional: PBE
Structure: relaxed

```
CrSIN2
1.0
-2.355 0.681 -3.033
0.185 -3.767 -0.990
-4.654 -1.113 3.365
Cr N I S
1 2 1 1
direct
0.500 0.500 0.500
0.500 0.000 0.000
0.000 0.500 0.000
0.000 0.000 0.000
0.000 0.000 0.500
```

Computed properties:
formation energy (no corrections)	847	kJ/mol of formula units
density of states at the Fermi level	2.66	states/eV/cell
SG	No. 123



Compound: SnTeBrN2
Source: Alexandria
Functional: PBE
Structure: relaxed

```
SnTeBrN2
1.0
4.430 0.000 0.000
0.000 4.430 0.000
0.000 0.000 5.625
Te N Br Sn
1 2 1 1
direct
0.000 0.000 0.500
0.500 0.000 0.000
0.000 0.500 0.000
0.000 0.000 0.000
0.500 0.500 0.500
```

Computed properties:
formation energy (no corrections)	923	kJ/mol of formula units
density of states at the Fermi level	1.84	states/eV/cell
SG	No. 123



Compound: CsAsPb2Se4
Source: Alexandria
Functional: PBE
Structure: relaxed

```
CsAsPb2Se4
1.0
-4.945 -6.341 -5.690
-1.290 -5.345 7.075
-2.703 8.647 0.886
Cs Pb Se As
2 4 8 2
direct
0.004 0.502 0.501
0.015 0.499 0.003
0.950 0.989 0.510
0.486 0.999 0.997
0.476 0.485 0.997
0.509 0.010 0.482
0.735 0.186 0.956
0.757 0.798 0.569
0.720 0.752 0.944
0.357 0.338 0.582
0.245 0.211 0.912
0.319 0.753 0.541
0.743 0.198 0.467
0.321 0.750 0.033
0.873 0.968 0.930
0.490 0.563 0.575
```

Computed properties:
formation energy (no corrections)	-427	kJ/mol of formula units
SG	No. 1



Compound: Rb3HgGe2Br9
Source: Alexandria
Functional: PBE
Structure: relaxed

```
Rb3HgGe2Br9
1.0
7.902 0.000 0.000
-3.951 6.843 0.000
0.000 0.000 9.683
Ge Rb Br Hg
2 3 9 1
direct
0.667 0.333 0.835
0.333 0.667 0.165
0.333 0.667 0.666
0.000 0.000 0.000
0.667 0.333 0.334
0.169 0.338 0.330
0.000 0.500 0.000
0.662 0.831 0.330
0.500 0.000 0.000
0.500 0.500 0.000
0.831 0.662 0.670
0.169 0.831 0.330
0.338 0.169 0.670
0.831 0.169 0.670
0.000 0.000 0.500
```

Computed properties:
formation energy (no corrections)	-1467	kJ/mol of formula units
SG	No. 164



Compound: BeBrNO2
Source: Alexandria
Functional: PBE
Structure: relaxed

```
BeBrNO2
1.0
-1.670 3.570 -0.202
-0.772 -0.142 3.868
3.345 1.605 0.726
N O Be Br
1 2 1 1
direct
0.000 0.000 0.500
0.000 0.500 0.000
0.500 0.000 0.000
0.500 0.500 0.500
0.000 0.000 0.000
```

Computed properties:
formation energy (no corrections)	713	kJ/mol of formula units
density of states at the Fermi level	1.76	states/eV/cell
SG	No. 123



Compound: RbSmCu2I6
Source: Alexandria
Functional: PBE
Structure: relaxed

```
RbSmCu2I6
1.0
-0.764 -2.694 -7.381
-3.059 -4.082 6.022
-5.697 7.416 2.116
Cu I Sm Rb
2 6 1 1
direct
0.469 0.734 0.187
0.524 0.262 0.774
0.549 0.955 0.761
0.444 0.041 0.200
0.814 0.771 0.200
0.179 0.224 0.760
0.819 0.593 0.760
0.174 0.402 0.201
0.997 0.998 0.980
0.997 0.498 0.480
```

Computed properties:
formation energy (no corrections)	-851	kJ/mol of formula units
density of states at the Fermi level	0.00	states/eV/cell
SG	No. 1